[1]
First-principles (PBE) data for an optimized crystal structure of YNi, as listed in Alexandria via LeMat-Bulk.

Summary:
density of states at the Fermi level = 2.10 states/eV per cell
V = 43.9 Å³ per cell
ΔE_f = -127 meV per atom
E_tot = -6.25 eV per atom

abc: 3.8283 3.8283 3.4587
angles: 90.00 90.00 120.00
Sites, in units of the cell vectors:
Y 0.0000 0.0000 0.0000
Ni 0.6667 0.3333 0.5000

***

[2]
First-principles (PBE) data for an optimized crystal structure of YNi, as listed in Alexandria via LeMat-Bulk.

Summary:
density of states at the Fermi level = 3.39 states/eV per cell
V = 56.1 Å³ per cell
ΔE_f = 473 meV per atom
E_tot = -5.65 eV per atom

abc: 4.2959 4.2959 4.2959
angles: 60.00 60.00 60.00
Sites, in units of the cell vectors:
Y 0.0000 0.0000 0.0000
Ni 0.2500 0.2500 0.2500

***

[3]
First-principles (PBE) data for an optimized crystal structure of YNi12, as listed in Alexandria via LeMat-Bulk.

Summary:
density of states at the Fermi level = 21.82 states/eV per cell
V = 158.4 Å³ per cell
ΔE_f = -112 meV per atom
E_tot = -5.95 eV per atom

abc: 6.2615 6.2615 6.2615
angles: 98.10 98.10 135.89
Sites, in units of the cell vectors:
Y 0.0000 0.0000 0.0000
Ni 0.0000 0.0000 0.5000
Ni 0.0000 0.3547 0.3547
Ni 0.0000 0.5000 0.0000
Ni 0.0000 0.6453 0.6453
Ni 0.2754 0.5000 0.7754
Ni 0.3547 0.0000 0.3547
Ni 0.5000 0.0000 0.0000
Ni 0.5000 0.2754 0.7754
Ni 0.5000 0.5000 0.5000
Ni 0.5000 0.7246 0.2246
Ni 0.6453 0.0000 0.6453
Ni 0.7246 0.5000 0.2246

***

[4]
First-principles (PBE) data for an optimized crystal structure of YNi, as listed in Alexandria via LeMat-Bulk.

Summary:
density of states at the Fermi level = 16.43 states/eV per cell
V = 374.8 Å³ per cell
ΔE_f = -20 meV per atom
E_tot = -6.14 eV per atom

abc: 9.9233 9.9233 3.8066
angles: 90.00 90.00 90.00
Sites, in units of the cell vectors:
Y 0.0576 0.2355 0.0000
Y 0.2355 0.9424 0.0000
Y 0.2856 0.6415 0.5000
Y 0.3585 0.2856 0.5000
Y 0.6415 0.7144 0.5000
Y 0.7144 0.3585 0.5000
Y 0.7645 0.0576 0.0000
Y 0.9424 0.7645 0.0000
Ni 0.0965 0.4174 0.5000
Ni 0.1067 0.5610 0.0000
Ni 0.4174 0.9035 0.5000
Ni 0.4390 0.1067 0.0000
Ni 0.5610 0.8933 0.0000
Ni 0.5826 0.0965 0.5000
Ni 0.8933 0.4390 0.0000
Ni 0.9035 0.5826 0.5000

***

[5]
First-principles (PBE) data for an optimized crystal structure of YNi4, as listed in Alexandria via LeMat-Bulk.

Summary:
density of states at the Fermi level = 8.45 states/eV per cell
V = 97.2 Å³ per cell
ΔE_f = 1589 meV per atom
E_tot = -4.33 eV per atom

abc: 4.5982 4.5982 4.5982
angles: 90.00 90.00 90.00
Sites, in units of the cell vectors:
Y 0.0000 0.0000 0.0000
Ni 0.0000 0.0000 0.5000
Ni 0.0000 0.5000 0.0000
Ni 0.5000 0.0000 0.0000
Ni 0.5000 0.5000 0.5000

***

[6]
First-principles (PBE) data for an optimized crystal structure of Y3Ni4, as listed in Alexandria via LeMat-Bulk.

Summary:
E above lowest polymorph = 0.726 eV/atom
density of states at the Fermi level = 3.68 states/eV per cell
V = 148.8 Å³ per cell
ΔE_f = 306 meV per atom
E_tot = -5.77 eV per atom

abc: 6.3755 6.3755 4.2257
angles: 90.00 90.00 120.00
Sites, in units of the cell vectors:
Y 0.0000 0.5000 0.0000
Y 0.5000 0.0000 0.0000
Y 0.5000 0.5000 0.0000
Ni 0.0000 0.0000 0.2507
Ni 0.0000 0.0000 0.7493
Ni 0.3333 0.6667 0.5000
Ni 0.6667 0.3333 0.5000

***

[7]
First-principles (PBE) data for an optimized crystal structure of YNi, as listed in Alexandria via LeMat-Bulk.

Summary:
density of states at the Fermi level = 4.95 states/eV per cell
V = 122.5 Å³ per cell
ΔE_f = -160 meV per atom
E_tot = -6.28 eV per atom

abc: 6.0329 6.0329 6.4912
angles: 110.94 110.94 34.00
Sites, in units of the cell vectors:
Y 0.0000 0.0000 0.0000
Y 0.0600 0.0600 0.5583
Y 0.7629 0.7629 0.3620
Ni 0.3270 0.3270 0.7233
Ni 0.3581 0.3581 0.1354
Ni 0.7245 0.7245 0.8746

***

[8]
First-principles (PBE) data for an optimized crystal structure of YNi, as listed in Alexandria via LeMat-Bulk.

Summary:
density of states at the Fermi level = 2.53 states/eV per cell
V = 85.2 Å³ per cell
ΔE_f = -196 meV per atom
E_tot = -6.32 eV per atom

abc: 3.8526 3.8526 5.7377
angles: 90.00 90.00 90.00
Sites, in units of the cell vectors:
Y 0.2500 0.2500 0.2116
Y 0.7500 0.7500 0.7884
Ni 0.2500 0.2500 0.7005
Ni 0.7500 0.7500 0.2995